No. 1
Computed, not measured: Zn2TcHg at its PBEsol-relaxed geometry at the SCAN level of DFT.

Computed properties:
SG ... Immm (71)
Final energy ... -1.18480 Ha/atom
Crystal system ... orthorhombic
Energy of formation from the pure elements ... 0.32 eV per atom

abc: 2.8446 4.7846 5.3838
angles: 116.38 105.32 90.00
Element x y z (fractional)
Zn: 0.7387 0.7387 0.4773
Zn: 0.2613 0.2613 0.5227
Hg: 0.5000 0.0000 0.0000
Tc: 0.0000 0.5000 0.0000


No. 2
Computed, not measured: Zn2TcHg at its PBEsol-relaxed geometry at the SCAN level of DFT.

Computed properties:
SG ... C2/m (12)
Final energy ... -1.18676 Ha/atom
Crystal system ... monoclinic
Energy of formation from the pure elements ... 0.27 eV per atom

abc: 2.7737 4.7211 5.0441
angles: 99.21 90.00 107.08
Element x y z (fractional)
Zn: 0.2426 0.4852 0.2180
Zn: 0.7574 0.5148 0.7820
Tc: 0.5000 0.0000 0.0000
Hg: 0.0000 0.0000 0.5000


No. 3
Computed, not measured: Zn2TcHg at its PBEsol-relaxed geometry at the SCAN level of DFT.

Computed properties:
SG ... Cmmm (65)
Final energy ... -1.18735 Ha/atom
Crystal system ... orthorhombic
Energy of formation from the pure elements ... 0.25 eV per atom

abc: 2.7436 2.7436 8.6646
angles: 90.00 90.00 103.66
Element x y z (fractional)
Tc: 0.5000 0.5000 0.0000
Zn: 0.0000 0.0000 0.7746
Zn: 0.0000 0.0000 0.2254
Hg: 0.5000 0.5000 0.5000